Entry 1:
AlRuSe2 | PBEsol | optimized geometry

Lattice parameters (Å, degrees): 3.626 3.626 6.006 90.00 90.00 90.00
Space group P-4m2 (No. 115)
Inequivalent atoms, fractional coordinates:
Al: 0.000 0.000 0.000 (multiplicity 1)
Ru: 0.500 0.500 0.000 (multiplicity 1)
Se: 0.000 0.500 0.293 (multiplicity 2)

D(E_F), states/eV/f.u.: 1.6
Formation energy without anion corrections, kJ per mole of atoms: -27
Total DFT energy (no corrections), eV per atom: -5.769
Magnetic moment, μB per cell: 0.00
Calculated volume, Å³ per cell: 79

=====

Entry 2:
AlRuSe2 | PBEsol | optimized geometry

Lattice parameters (Å, degrees): 4.512 4.512 3.064 90.00 90.00 90.00
Space group P4/mmm (No. 123)
Inequivalent atoms, fractional coordinates:
Al: 0.000 0.000 0.000 (multiplicity 1)
Ru: 0.500 0.500 0.000 (multiplicity 1)
Se: 0.000 0.500 0.500 (multiplicity 2)

D(E_F), states/eV/f.u.: 2.3
Formation energy without anion corrections, kJ per mole of atoms: 10
Total DFT energy (no corrections), eV per atom: -5.388
Magnetic moment, μB per cell: 0.00
Calculated volume, Å³ per cell: 62

=====

Entry 3:
Al2RuSe | PBEsol | optimized geometry

Lattice parameters (Å, degrees): 3.351 4.366 8.435 90.00 90.00 90.00
Space group Imm2 (No. 44)
Inequivalent atoms, fractional coordinates:
Al: 0.000 0.000 0.000 (multiplicity 2)
Al: 0.000 0.500 0.251 (multiplicity 2)
Ru: 0.000 0.500 0.729 (multiplicity 2)
Se: 0.000 0.000 0.520 (multiplicity 2)

D(E_F), states/eV/f.u.: 0.9
Formation energy without anion corrections, kJ per mole of atoms: -4
Total DFT energy (no corrections), eV per atom: -5.596
Magnetic moment, μB per cell: 0.00
Calculated volume, Å³ per cell: 123

=====

Entry 4:
Al2RuSe | PBEsol | optimized geometry

Lattice parameters (Å, degrees): 2.937 2.937 7.358 90.00 90.00 90.00
Space group P4mm (No. 99)
Inequivalent atoms, fractional coordinates:
Al: 0.000 0.000 0.000 (multiplicity 1)
Al: 0.500 0.500 0.261 (multiplicity 1)
Ru: 0.000 0.000 0.481 (multiplicity 1)
Se: 0.500 0.500 0.687 (multiplicity 1)

D(E_F), states/eV/f.u.: 2.6
Formation energy without anion corrections, kJ per mole of atoms: -9
Total DFT energy (no corrections), eV per atom: -5.647
Magnetic moment, μB per cell: 0.00
Calculated volume, Å³ per cell: 63

=====

Entry 5:
Al2RuSe | PBEsol | optimized geometry

Lattice parameters (Å, degrees): 3.255 4.562 8.075 90.00 90.00 90.00
Space group Immm (No. 71)
Inequivalent atoms, fractional coordinates:
Al: 0.000 0.000 0.248 (multiplicity 4)
Ru: 0.000 0.500 0.000 (multiplicity 2)
Se: 0.000 0.500 0.500 (multiplicity 2)

D(E_F), states/eV/f.u.: 0.7
Formation energy without anion corrections, kJ per mole of atoms: -13
Total DFT energy (no corrections), eV per atom: -5.690
Magnetic moment, μB per cell: 0.00
Calculated volume, Å³ per cell: 120

=====

Entry 6:
AlRu2Se | PBEsol | optimized geometry

Lattice parameters (Å, degrees): 2.9359 2.9359 23.7561 90.00 90.00 120.00
Space group R3m (No. 160, hexagonal axes)
Inequivalent atoms, fractional coordinates:
Al: 0.0000 0.0000 0.0000 (multiplicity 3)
Ru: 0.0000 0.0000 0.4984 (multiplicity 3)
Ru: 0.0000 0.0000 0.7435 (multiplicity 3)
Se: 0.0000 0.0000 0.2415 (multiplicity 3)

D(E_F), states/eV/f.u.: 3.3
Formation energy without anion corrections, kJ per mole of atoms: 6
Total DFT energy (no corrections), eV per atom: -7.007
Magnetic moment, μB per cell: 0.00
Calculated volume, Å³ per cell: 177